Entry 1:
Compound: Zn2BrN4Cl
Source: OQMD via LeMat-Bulk
Functional: PBE
Structure: optimized geometry

Calculated values
Space-group type   I-4, No. 82
Crystal system   tetragonal
Total DFT energy (no corrections)   -0.12702 hartree per atom

The structure in POSCAR format:
```
Zn2BrN4Cl
1.0
-2.2596 2.2596 5.3685
2.2596 -2.2596 5.3685
2.2596 2.2596 -5.3685
Zn Br N Cl
2 1 4 1
direct
0.0000 0.0000 0.0000 Zn
0.7500 0.2500 0.5000 Zn
0.2500 0.7500 0.5000 Br
0.0556 0.6775 0.0463 N
0.3225 0.3687 0.3781 N
0.6313 0.0093 0.9537 N
0.9907 0.9444 0.6219 N
0.5000 0.5000 0.0000 Cl
```

=====

Entry 2:
Compound: NbBr3Cl2
Source: OQMD via LeMat-Bulk
Functional: PBE
Structure: optimized geometry

Calculated values
Space-group type   P-1, No. 2
Crystal system   triclinic
Total DFT energy (no corrections)   -0.15177 hartree per atom
Energy above the most stable polymorph in this dataset   0 meV/atom

The structure in POSCAR format:
```
NbBr3Cl2
1.0
6.7016 0.0000 0.0000
-2.9200 6.6234 0.0000
-0.4220 -3.7000 9.2715
Nb Br Cl
2 6 4
direct
0.1051 0.2192 0.2198 Nb
0.8949 0.7808 0.7802 Nb
0.0708 0.8156 0.5750 Br
0.2307 0.1746 0.9572 Br
0.4373 0.5676 0.3258 Br
0.5627 0.4324 0.6742 Br
0.7693 0.8254 0.0428 Br
0.9292 0.1844 0.4250 Br
0.1095 0.6315 0.8516 Cl
0.2937 0.0167 0.2427 Cl
0.7063 0.9833 0.7573 Cl
0.8905 0.3685 0.1484 Cl
```

=====

Entry 3:
Compound: NbBr3Cl2
Source: OQMD via LeMat-Bulk
Functional: PBE
Structure: optimized geometry

Calculated values
Space-group type   P-1, No. 2
Crystal system   triclinic
Total DFT energy (no corrections)   -0.15166 hartree per atom
Energy above the most stable polymorph in this dataset   3 meV/atom

The structure in POSCAR format:
```
NbBr3Cl2
1.0
6.8420 0.0000 0.0000
3.3233 6.5761 0.0000
0.0113 3.8043 8.9070
Nb Br Cl
2 6 4
direct
0.1007 0.2867 0.2183 Nb
0.8993 0.7133 0.7817 Nb
0.1166 0.8748 0.8497 Br
0.2984 0.4898 0.2453 Br
0.4393 0.9291 0.3259 Br
0.5607 0.0709 0.6741 Br
0.7016 0.5102 0.7547 Br
0.8834 0.1252 0.1503 Br
0.0664 0.6815 0.5797 Cl
0.2158 0.3356 0.9571 Cl
0.7842 0.6644 0.0429 Cl
0.9336 0.3185 0.4203 Cl
```

=====

- Which of these has the lowest total DFT energy (no corrections)?
  number 2

=====

- Which value of total DFT energy (no corrections) does entry 2 give?
  -0.15177 hartree per atom

=====

- Which of these has the lowest total DFT energy (no corrections)?
  number 2

=====

- The lowest total DFT energy (no corrections) belongs to which entry?
  number 2